# Dy3Ir2Rh2

A relaxed structure of Dy3Ir2Rh2 (GGA-PBE, Alexandria).

CIF file:
```
data_Dy3Ir2Rh2
_chemical_formula_sum 'Dy3 Ir2 Rh2'
_cell_length_a 3.881
_cell_length_b 5.280
_cell_length_c 7.330
_cell_angle_alpha 90.91
_cell_angle_beta 90.27
_cell_angle_gamma 111.32
_symmetry_space_group_name_H-M 'P 1'
_symmetry_Int_Tables_number 1
loop_
_symmetry_equiv_pos_as_xyz
'x,y,z'
loop_
_atom_site_label
_atom_site_type_symbol
_atom_site_fract_x
_atom_site_fract_y
_atom_site_fract_z
Dy1 Dy 0.000 0.000 0.000
Dy2 Dy 0.356 0.712 0.337
Dy3 Dy 0.644 0.288 0.663
Ir1 Ir 0.308 0.609 0.875
Ir2 Ir 0.692 0.391 0.125
Rh1 Rh 0.083 0.160 0.358
Rh2 Rh 0.917 0.840 0.642
```

VASP energy: -7.2042 eV/atom
formation enthalpy at 0 K: -0.60 eV per atom
symmetry: No. 2

---

# DyIr2Rh3

A relaxed structure of DyIr2Rh3 (GGA-PBE, Alexandria).

CIF file:
```
data_DyIr2Rh3
_chemical_formula_sum 'Dy2 Ir4 Rh6'
_cell_length_a 7.660
_cell_length_b 7.660
_cell_length_c 7.660
_cell_angle_alpha 42.97
_cell_angle_beta 42.97
_cell_angle_gamma 42.97
_symmetry_space_group_name_H-M 'P 1'
_symmetry_Int_Tables_number 1
loop_
_symmetry_equiv_pos_as_xyz
'x,y,z'
loop_
_atom_site_label
_atom_site_type_symbol
_atom_site_fract_x
_atom_site_fract_y
_atom_site_fract_z
Dy1 Dy 0.218 0.218 0.218
Dy2 Dy 0.782 0.782 0.782
Ir1 Ir 0.000 0.000 0.000
Ir2 Ir 0.000 0.500 0.500
Ir3 Ir 0.500 0.000 0.500
Ir4 Ir 0.500 0.500 0.000
Rh1 Rh 0.235 0.723 0.723
Rh2 Rh 0.277 0.277 0.765
Rh3 Rh 0.277 0.765 0.277
Rh4 Rh 0.723 0.235 0.723
Rh5 Rh 0.723 0.723 0.235
Rh6 Rh 0.765 0.277 0.277
```

VASP energy: -7.7214 eV/atom
formation enthalpy at 0 K: -0.33 eV per atom
symmetry: No. 166

---

# DyScIrRh

A relaxed structure of DyScIrRh (GGA-PBE, Alexandria).

CIF file:
```
data_DyScIrRh
_chemical_formula_sum 'Dy1 Sc1 Ir1 Rh1'
_cell_length_a 4.712
_cell_length_b 4.712
_cell_length_c 4.712
_cell_angle_alpha 60.00
_cell_angle_beta 60.00
_cell_angle_gamma 60.00
_symmetry_space_group_name_H-M 'P 1'
_symmetry_Int_Tables_number 1
loop_
_symmetry_equiv_pos_as_xyz
'x,y,z'
loop_
_atom_site_label
_atom_site_type_symbol
_atom_site_fract_x
_atom_site_fract_y
_atom_site_fract_z
Dy1 Dy 0.000 0.000 0.000
Sc1 Sc 0.500 0.500 0.500
Ir1 Ir 0.750 0.750 0.750
Rh1 Rh 0.250 0.250 0.250
```

VASP energy: -7.7014 eV/atom
formation enthalpy at 0 K: -0.91 eV per atom
symmetry: No. 216

---

# DySiIrRh

A relaxed structure of DySiIrRh (GGA-PBE, Alexandria).

CIF file:
```
data_DySiIrRh
_chemical_formula_sum 'Dy1 Si1 Ir1 Rh1'
_cell_length_a 5.699
_cell_length_b 5.699
_cell_length_c 5.699
_cell_angle_alpha 140.25
_cell_angle_beta 138.65
_cell_angle_gamma 58.69
_symmetry_space_group_name_H-M 'P 1'
_symmetry_Int_Tables_number 1
loop_
_symmetry_equiv_pos_as_xyz
'x,y,z'
loop_
_atom_site_label
_atom_site_type_symbol
_atom_site_fract_x
_atom_site_fract_y
_atom_site_fract_z
Dy1 Dy 0.000 0.000 0.000
Si1 Si 0.748 0.248 0.500
Ir1 Ir 0.620 0.620 0.000
Rh1 Rh 0.363 0.363 0.000
```

VASP energy: -7.2180 eV/atom
E_form (uncorrected): -0.659 eV per atom
symmetry: No. 44

---

# Dy2Si4Ir3Rh

A relaxed structure of Dy2Si4Ir3Rh (GGA-PBE, Alexandria).

CIF file:
```
data_Dy2Si4Ir3Rh
_chemical_formula_sum 'Dy2 Si4 Ir3 Rh1'
_cell_length_a 4.132
_cell_length_b 4.132
_cell_length_c 9.839
_cell_angle_alpha 90.00
_cell_angle_beta 90.00
_cell_angle_gamma 90.00
_symmetry_space_group_name_H-M 'P 1'
_symmetry_Int_Tables_number 1
loop_
_symmetry_equiv_pos_as_xyz
'x,y,z'
loop_
_atom_site_label
_atom_site_type_symbol
_atom_site_fract_x
_atom_site_fract_y
_atom_site_fract_z
Dy1 Dy 0.000 0.500 0.245
Dy2 Dy 0.500 0.000 0.755
Si1 Si 0.000 0.000 0.000
Si2 Si 0.000 0.500 0.630
Si3 Si 0.500 0.000 0.370
Si4 Si 0.500 0.500 0.000
Ir1 Ir 0.000 0.500 0.871
Ir2 Ir 0.500 0.000 0.129
Ir3 Ir 0.500 0.500 0.500
Rh1 Rh 0.000 0.000 0.500
```

VASP energy: -7.5545 eV/atom
E_form (uncorrected): -1.071 eV per atom
symmetry: No. 115

---

# Dy2Si2IrRh5

A relaxed structure of Dy2Si2IrRh5 (GGA-PBE, Alexandria).

CIF file:
```
data_Dy2Si2IrRh5
_chemical_formula_sum 'Dy4 Si4 Ir2 Rh10'
_cell_length_a 9.563
_cell_length_b 9.563
_cell_length_c 3.569
_cell_angle_alpha 90.00
_cell_angle_beta 90.00
_cell_angle_gamma 90.00
_symmetry_space_group_name_H-M 'P 1'
_symmetry_Int_Tables_number 1
loop_
_symmetry_equiv_pos_as_xyz
'x,y,z'
loop_
_atom_site_label
_atom_site_type_symbol
_atom_site_fract_x
_atom_site_fract_y
_atom_site_fract_z
Dy1 Dy 0.177 0.323 0.000
Dy2 Dy 0.323 0.823 0.000
Dy3 Dy 0.677 0.177 0.000
Dy4 Dy 0.823 0.677 0.000
Si1 Si 0.122 0.622 0.000
Si2 Si 0.378 0.122 0.000
Si3 Si 0.622 0.878 0.000
Si4 Si 0.878 0.378 0.000
Ir1 Ir 0.000 0.000 0.000
Ir2 Ir 0.500 0.500 0.000
Rh1 Rh 0.000 0.500 0.500
Rh2 Rh 0.069 0.787 0.500
Rh3 Rh 0.213 0.069 0.500
Rh4 Rh 0.287 0.569 0.500
Rh5 Rh 0.431 0.287 0.500
Rh6 Rh 0.500 0.000 0.500
Rh7 Rh 0.569 0.713 0.500
Rh8 Rh 0.713 0.431 0.500
Rh9 Rh 0.787 0.931 0.500
Rh10 Rh 0.931 0.213 0.500
```

VASP energy: -7.2949 eV/atom
E_form (uncorrected): -0.728 eV per atom
symmetry: No. 127

---

# DySi2IrRh

A relaxed structure of DySi2IrRh (GGA-PBE, Alexandria).

CIF file:
```
data_DySi2IrRh
_chemical_formula_sum 'Dy1 Si2 Ir1 Rh1'
_cell_length_a 5.762
_cell_length_b 5.762
_cell_length_c 5.762
_cell_angle_alpha 138.63
_cell_angle_beta 138.63
_cell_angle_gamma 59.94
_symmetry_space_group_name_H-M 'P 1'
_symmetry_Int_Tables_number 1
loop_
_symmetry_equiv_pos_as_xyz
'x,y,z'
loop_
_atom_site_label
_atom_site_type_symbol
_atom_site_fract_x
_atom_site_fract_y
_atom_site_fract_z
Dy1 Dy 0.000 0.000 0.000
Si1 Si 0.379 0.379 0.000
Si2 Si 0.621 0.621 0.000
Ir1 Ir 0.250 0.750 0.500
Rh1 Rh 0.750 0.250 0.500
```

VASP energy: -7.4399 eV/atom
E_form (uncorrected): -1.108 eV per atom
symmetry: No. 119

---

# DySnIrRh

A relaxed structure of DySnIrRh (GGA-PBE, Alexandria).

CIF file:
```
data_DySnIrRh
_chemical_formula_sum 'Dy1 Sn1 Ir1 Rh1'
_cell_length_a 4.712
_cell_length_b 4.712
_cell_length_c 4.712
_cell_angle_alpha 60.00
_cell_angle_beta 60.00
_cell_angle_gamma 60.00
_symmetry_space_group_name_H-M 'P 1'
_symmetry_Int_Tables_number 1
loop_
_symmetry_equiv_pos_as_xyz
'x,y,z'
loop_
_atom_site_label
_atom_site_type_symbol
_atom_site_fract_x
_atom_site_fract_y
_atom_site_fract_z
Dy1 Dy 0.000 0.000 0.000
Sn1 Sn 0.500 0.500 0.500
Ir1 Ir 0.750 0.750 0.750
Rh1 Rh 0.250 0.250 0.250
```

VASP energy: -6.8680 eV/atom
formation enthalpy at 0 K: -0.66 eV per atom
symmetry: No. 216

---

# TbDyIrRh

A relaxed structure of TbDyIrRh (GGA-PBE, Alexandria).

CIF file:
```
data_TbDyIrRh
_chemical_formula_sum 'Tb1 Dy1 Ir1 Rh1'
_cell_length_a 4.855
_cell_length_b 4.855
_cell_length_c 4.855
_cell_angle_alpha 60.00
_cell_angle_beta 60.00
_cell_angle_gamma 60.00
_symmetry_space_group_name_H-M 'P 1'
_symmetry_Int_Tables_number 1
loop_
_symmetry_equiv_pos_as_xyz
'x,y,z'
loop_
_atom_site_label
_atom_site_type_symbol
_atom_site_fract_x
_atom_site_fract_y
_atom_site_fract_z
Tb1 Tb 0.000 0.000 0.000
Dy1 Dy 0.500 0.500 0.500
Ir1 Ir 0.250 0.250 0.250
Rh1 Rh 0.750 0.750 0.750
```

VASP energy: -7.2180 eV/atom
formation enthalpy at 0 K: -0.86 eV per atom
symmetry: No. 216

---

# DyTiIrRh

A relaxed structure of DyTiIrRh (GGA-PBE, Alexandria).

CIF file:
```
data_DyTiIrRh
_chemical_formula_sum 'Dy1 Ti1 Ir1 Rh1'
_cell_length_a 4.626
_cell_length_b 4.626
_cell_length_c 4.626
_cell_angle_alpha 60.00
_cell_angle_beta 60.00
_cell_angle_gamma 60.00
_symmetry_space_group_name_H-M 'P 1'
_symmetry_Int_Tables_number 1
loop_
_symmetry_equiv_pos_as_xyz
'x,y,z'
loop_
_atom_site_label
_atom_site_type_symbol
_atom_site_fract_x
_atom_site_fract_y
_atom_site_fract_z
Dy1 Dy 0.000 0.000 0.000
Ti1 Ti 0.500 0.500 0.500
Ir1 Ir 0.250 0.250 0.250
Rh1 Rh 0.750 0.750 0.750
```

VASP energy: -7.8758 eV/atom
formation enthalpy at 0 K: -0.70 eV per atom
symmetry: No. 216